[1]
A relaxed KLi2OsO4 crystal. Source: Alexandria via LeMat-Bulk, functional PBE.

abc: 5.363 5.363 7.740
angles: 90.00 90.00 90.00
Space group I-42m (No. 121)
Unique sites:
K (0.000, 0.000, 0.000) [2 per cell]
Li (0.000, 0.500, 0.250) [4 per cell]
Os (0.000, 0.000, 0.500) [2 per cell]
O (0.188, 0.188, 0.657) [8 per cell]

Calculated values
Raw formation energy: -130 kJ/mol of atoms

***

[2]
A relaxed K4LiOs3O12 crystal. Source: Alexandria via LeMat-Bulk, functional PBE.

abc: 7.947 7.947 7.947
angles: 90.00 90.00 90.00
Space group Im-3m (No. 229)
Unique sites:
K (0.250, 0.250, 0.250) [8 per cell]
Li (0.000, 0.000, 0.000) [2 per cell]
Os (0.000, 0.000, 0.500) [6 per cell]
O (0.000, 0.000, 0.269) [12 per cell]
O (0.000, 0.250, 0.500) [12 per cell]

Calculated values
Raw formation energy: -126 kJ/mol of atoms

***

[3]
A relaxed KLi2OsO6 crystal. Source: Alexandria via LeMat-Bulk, functional PBE.

abc: 10.798 5.551 5.001
angles: 90.00 117.11 90.00
Space group C2/m (No. 12)
Unique sites:
K (0.000, 0.000, 0.000) [2 per cell]
Li (0.233, 0.500, 0.117) [4 per cell]
Os (0.000, 0.500, 0.500) [2 per cell]
O (0.078, 0.500, 0.223) [4 per cell]
O (0.127, 0.267, 0.726) [8 per cell]

Calculated values
Raw formation energy: -122 kJ/mol of atoms

***

[4]
A relaxed K2Li3OsO6 crystal. Source: Alexandria via LeMat-Bulk, functional PBE.

abc: 5.797 11.822 5.105
angles: 90.00 111.30 90.00
Space group C2/m (No. 12)
Unique sites:
K (0.000, 0.181, 0.000) [4 per cell]
Li (0.000, 0.000, 0.500) [2 per cell]
Li (0.000, 0.399, 0.500) [4 per cell]
Os (0.000, 0.500, 0.000) [2 per cell]
O (0.196, 0.386, 0.253) [8 per cell]
O (0.215, 0.500, 0.788) [4 per cell]

Calculated values
Raw formation energy: -146 kJ/mol of atoms

***

Number 1: calculated density 4.6 g cm⁻³, raw total energy -5.85 eV/atom, size of the total moment 2.0 μB per cell. Number 2: calculated density 6.1 g cm⁻³, raw total energy -6.28 eV/atom, size of the total moment 2.0 μB per cell. Number 3: calculated density 4.2 g cm⁻³, raw total energy -5.86 eV/atom, size of the total moment 2.1 μB per cell. Number 4: calculated density 3.9 g cm⁻³, raw total energy -5.59 eV/atom, size of the total moment 2.1 μB per cell.